Density functional theory data (PBE) for a relaxed structure of Ta4MoRh.

The structure belongs to space group P4/mmm (No. 123); the cell edges are 3.240, 3.240 and 9.791 Å and the angles 90.00°, 90.00° and 90.00°. The distinct sites, in fractional coordinates, are Ta at (0.000, 0.000, 0.162), Ta at (0.500, 0.500, 0.337), Mo at (0.000, 0.000, 0.500) and Rh at (0.500, 0.500, 0.000).

As for the energy relative to the elements: -0.259 eV/atom. Its density of states at the Fermi level is 3.7 states/eV/cell. The energy above the lowest structure with this stoichiometry comes out at 0.0 meV/atom.

---

Density functional theory data (PBE) for a relaxed structure of TaMo3Rh.

The structure belongs to space group Pm-3m (No. 221); the cell edges are 4.649, 4.649 and 4.649 Å and the angles 90.00°, 90.00° and 90.00°. The distinct sites, in fractional coordinates, are Ta at (0.000, 0.000, 0.000), Mo at (0.000, 0.500, 0.500) and Rh at (0.500, 0.500, 0.500).

As for the energy relative to the elements: 1.634 eV/atom. Its density of states at the Fermi level is 5.3 states/eV/cell. The energy above the lowest structure with this stoichiometry comes out at 0.0 meV/atom.

---

Density functional theory data (PBE) for a relaxed structure of Ta3MoRh.

The structure belongs to space group Pm-3m (No. 221); the cell edges are 4.742, 4.742 and 4.742 Å and the angles 90.00°, 90.00° and 90.00°. The distinct sites, in fractional coordinates, are Ta at (0.000, 0.000, 0.500), Mo at (0.500, 0.500, 0.500) and Rh at (0.000, 0.000, 0.000).

As for the energy relative to the elements: 1.383 eV/atom. Its density of states at the Fermi level is 7.2 states/eV/cell. The energy above the lowest structure with this stoichiometry comes out at 0.0 meV/atom.

---

Computed values of calculated density (unit: g/cm³) for the preceding records, in sequence: 14.91; 9.45; 11.55.